No. 1
Computed, not measured: La4HoCd after structural relaxation at the PBE-GGA level of DFT.

## Properties
Energy above the most stable polymorph in this dataset ... 0.000 eV/atom
Uncorrected energy ... -4.30 eV per atom
Space group ... P4/mmm, No. 123

Lattice parameters (Å, degrees): 3.7564 3.7564 14.3323 90.00 90.00 90.00
Last column: nearest neighbours and their distance in Å.
Sites, in units of the cell vectors:
Cd 0.5000 0.5000 0.5000  8 La 3.41, 4 Cd 3.76
La 0.0000 0.0000 0.6493  4 Cd 3.41, 8 La 3.69-3.76
La 0.0000 0.0000 0.3507  4 Cd 3.41, 8 La 3.69-3.76
La 0.5000 0.5000 0.1723  4 Ho 3.63, 8 La 3.69-3.76
Ho 0.0000 0.0000 0.0000  8 La 3.63, 4 Ho 3.76
La 0.5000 0.5000 0.8277  4 Ho 3.63, 8 La 3.69-3.76

***

No. 2
Computed, not measured: La4HoCd3 after structural relaxation at the PBE-GGA level of DFT.

## Properties
Uncorrected energy ... -3.59 eV per atom
Space group ... Pmmm, No. 47

Lattice parameters (Å, degrees): 3.8413 5.6828 11.4719 90.00 90.00 90.00
Last column: nearest neighbours and their distance in Å.
Sites, in units of the cell vectors:
La 0.0000 0.0000 0.5000  8 Cd 3.43-3.51
Cd 0.5000 0.5000 0.5000  8 La 3.36-3.43
La 0.0000 0.5000 0.2599  6 Cd 3.36-3.43, 2 Ho 3.55
La 0.0000 0.0000 0.0000  4 Cd 3.39, 4 Ho 3.43
La 0.0000 0.5000 0.7401  6 Cd 3.36-3.43, 2 Ho 3.55
Cd 0.5000 0.0000 0.2440  8 La 3.39-3.51
Ho 0.5000 0.5000 0.0000  8 La 3.43-3.55
Cd 0.5000 0.0000 0.7560  8 La 3.39-3.51

***

No. 3
Computed, not measured: LaHo5Cd6 after structural relaxation at the PBE-GGA level of DFT.

## Properties
Uncorrected energy ... -3.08 eV per atom
Space group ... Cmmm, No. 65

Lattice parameters (Å, degrees): 5.2954 7.5774 8.4062 90.00 71.64 90.00
Last column: nearest neighbours and their distance in Å.
Sites, in units of the cell vectors:
Ho 0.3312 0.0000 0.3375  8 Cd 3.22-3.33
Ho 0.3371 0.5000 0.3258  8 Cd 3.18-3.22
Cd 0.1716 0.7406 0.6569  7 Ho 3.21-3.30, 1 La 3.37
Cd 0.5000 0.7418 0.0000  6 Ho 3.18-3.33, 2 La 3.29
Cd 0.8284 0.2594 0.3431  7 Ho 3.21-3.30, 1 La 3.37
Ho 0.0000 0.5000 0.0000  8 Cd 3.22-3.29
Cd 0.8284 0.7406 0.3431  7 Ho 3.21-3.30, 1 La 3.37
Ho 0.6688 0.0000 0.6625  8 Cd 3.22-3.33
Cd 0.1716 0.2594 0.6569  7 Ho 3.21-3.30, 1 La 3.37
Cd 0.5000 0.2582 0.0000  6 Ho 3.18-3.33, 2 La 3.29
Ho 0.6629 0.5000 0.6742  8 Cd 3.18-3.22
La 0.0000 0.0000 0.0000  8 Cd 3.29-3.37

***

No. 4
Computed, not measured: La3Ho2Cd3 after structural relaxation at the PBE-GGA level of DFT.

## Properties
Energy above the most stable polymorph in this dataset ... 0.000 eV/atom
Uncorrected energy ... -3.57 eV per atom
Space group ... Immm, No. 71

Lattice parameters (Å, degrees): 3.7977 5.6211 11.9303 103.63 99.16 90.00
Last column: nearest neighbours and their distance in Å.
Sites, in units of the cell vectors:
Cd 0.1241 0.1241 0.2482  2 Ho 3.17, 6 La 3.39-3.42
La 0.3752 0.3752 0.7505  6 Cd 3.39-3.43, 4 Ho 3.72-3.78, 2 La 3.80
Ho 0.7353 0.2353 0.4707  2 Cd 3.17, 4 Ho 3.46
La 0.6248 0.6248 0.2495  6 Cd 3.39-3.43, 4 Ho 3.72-3.78, 2 La 3.80
Cd 0.8759 0.8759 0.7518  2 Ho 3.17, 6 La 3.39-3.42
Cd 0.0000 0.5000 0.0000  8 La 3.39-3.43, 2 Cd 3.80
Ho 0.2647 0.7647 0.5293  2 Cd 3.17, 4 Ho 3.46
La 0.5000 0.0000 0.0000  8 Cd 3.39-3.42, 2 La 3.80

***

No. 5
Computed, not measured: LaHo5Cd3 after structural relaxation at the PBE-GGA level of DFT.

## Properties
Uncorrected energy ... -3.56 eV per atom
Space group ... P6_3/mcm, No. 193

Lattice parameters (Å, degrees): 6.9722 9.2160 9.2163 120.00 90.00 90.00
Last column: nearest neighbours and their distance in Å.
Sites, in units of the cell vectors:
Ho 0.5000 0.3333 0.6667  8 Ho 3.49-3.53, 6 Cd 3.51
Ho 0.0000 0.3333 0.6667  8 Ho 3.49-3.53, 6 Cd 3.51
Cd 0.2500 0.3389 0.0000  3 Ho 3.01-3.11
Cd 0.7500 0.6611 0.0000  3 Ho 3.01-3.11
Ho 0.0000 0.6667 0.3333  8 Ho 3.49-3.53, 6 Cd 3.51
Cd 0.7500 0.0000 0.6611  3 Ho 3.01-3.11
Ho 0.5000 0.6667 0.3333  8 Ho 3.49-3.53, 6 Cd 3.51
Ho 0.2500 0.6649 0.0000  3 Cd 3.01-3.11
Cd 0.2500 0.6611 0.6611  3 Ho 3.01-3.11
La 0.0000 0.0000 0.0000  2 La 3.49, 6 Ho 3.55, 6 Cd 3.58
La 0.5000 0.0000 0.0000  2 La 3.49, 6 Ho 3.55, 6 Cd 3.58
Cd 0.7500 0.3389 0.3389  3 Ho 3.01-3.11
Ho 0.7500 0.3351 0.0000  3 Cd 3.01-3.11
Ho 0.7500 0.6650 0.6650  3 Cd 3.01-3.11
Ho 0.2500 0.0000 0.6650  3 Cd 3.01-3.11
Ho 0.2500 0.3350 0.3350  3 Cd 3.01-3.11
Ho 0.7500 0.0000 0.3350  3 Cd 3.01-3.11
Cd 0.2500 0.0000 0.3389  3 Ho 3.01-3.11

***

No. 6
Computed, not measured: La2Ho8Cd after structural relaxation at the PBE-GGA level of DFT.

## Properties
Uncorrected energy ... -4.30 eV per atom
Space group ... C2/m, No. 12

Lattice parameters (Å, degrees): 5.4176 6.8452 9.7918 94.10 106.06 90.00
Last column: nearest neighbours and their distance in Å.
Sites, in units of the cell vectors:
Cd 0.5000 0.0000 0.0000  8 Ho 3.05-3.29
Ho 0.8427 0.8275 0.6854  6 Ho 3.25-3.60, 1 La 3.49
La 0.2201 0.6659 0.4402  9 Ho 3.44-3.75, 2 La 3.76
Ho 0.0348 0.7507 0.0695  2 Cd 3.29, 4 Ho 3.56-3.65, 1 La 3.58
La 0.7799 0.3341 0.5598  9 Ho 3.44-3.75, 2 La 3.76
Ho 0.6560 0.9090 0.3119  1 Cd 3.05, 2 Ho 3.25
Ho 0.4115 0.5806 0.8229  1 Cd 3.21, 4 Ho 3.49-3.59
Ho 0.3440 0.0910 0.6881  1 Cd 3.05, 2 Ho 3.25
Ho 0.1573 0.1725 0.3146  6 Ho 3.25-3.60, 1 La 3.49
Ho 0.9652 0.2493 0.9305  2 Cd 3.29, 4 Ho 3.56-3.65, 1 La 3.58
Ho 0.5885 0.4194 0.1771  1 Cd 3.21, 4 Ho 3.49-3.59

***

No. 7
Computed, not measured: La2HoCd5 after structural relaxation at the PBE-GGA level of DFT.

## Properties
Uncorrected energy ... -2.68 eV per atom
Space group ... I4/mmm, No. 139

Lattice parameters (Å, degrees): 5.1861 5.1861 8.7241 107.29 107.29 90.00
Last column: nearest neighbours and their distance in Å.
Sites, in units of the cell vectors:
La 0.2625 0.2625 0.5250  8 Cd 3.28-3.54
Cd 0.6107 0.1107 0.2215  2 Ho 3.13, 2 Cd 3.13, 2 La 3.28
Ho 0.0000 0.0000 0.0000  8 Cd 3.13
Cd 0.3893 0.8893 0.7785  2 Ho 3.13, 2 Cd 3.13, 2 La 3.28
Cd 0.1107 0.6107 0.2215  2 Cd 3.13, 2 Ho 3.13, 2 La 3.28
La 0.7375 0.7375 0.4750  8 Cd 3.28-3.54
Cd 0.8893 0.3893 0.7785  2 Cd 3.13, 2 Ho 3.13, 2 La 3.28
Cd 0.5000 0.5000 0.0000  8 Cd 3.13

***

No. 8
Computed, not measured: La12Ho6Cd after structural relaxation at the PBE-GGA level of DFT.

## Properties
Uncorrected energy ... -4.50 eV per atom
Space group ... R-3, No. 148

Lattice parameters (Å, degrees): 8.8489 8.8489 8.8489 99.00 99.00 99.00
Last column: nearest neighbours and their distance in Å.
Sites, in units of the cell vectors:
La 0.7404 0.9984 0.2597  4 Ho 3.47-3.53, 1 Cd 3.49, 6 La 3.49-3.68
Ho 0.1399 0.1417 0.4053  4 La 3.47-3.53, 2 Ho 3.56, 1 Cd 3.56
La 0.9984 0.2597 0.7404  4 Ho 3.47-3.53, 1 Cd 3.49, 6 La 3.49-3.68
Ho 0.5947 0.8601 0.8583  4 La 3.47-3.53, 2 Ho 3.56, 1 Cd 3.56
Cd 0.0000 0.0000 0.0000  6 La 3.49, 6 Ho 3.56
La 0.7403 0.2596 0.0016  4 Ho 3.47-3.53, 1 Cd 3.49, 6 La 3.49-3.68
Ho 0.1417 0.4053 0.1399  4 La 3.47-3.53, 2 Ho 3.56, 1 Cd 3.56
Ho 0.8601 0.8583 0.5947  4 La 3.47-3.53, 2 Ho 3.56, 1 Cd 3.56
La 0.1675 0.5810 0.5815  1 La 3.10
La 0.5810 0.5815 0.1675  1 La 3.10
La 0.4185 0.8325 0.4190  1 La 3.10
La 0.4190 0.4185 0.8325  1 La 3.10
Ho 0.4053 0.1399 0.1417  4 La 3.47-3.53, 2 Ho 3.56, 1 Cd 3.56
La 0.2597 0.7404 0.9984  4 Ho 3.47-3.53, 1 Cd 3.49, 6 La 3.49-3.68
La 0.5815 0.1675 0.5810  1 La 3.10
La 0.8325 0.4190 0.4185  1 La 3.10
Ho 0.8583 0.5947 0.8601  4 La 3.47-3.53, 2 Ho 3.56, 1 Cd 3.56
La 0.2596 0.0016 0.7403  4 Ho 3.47-3.53, 1 Cd 3.49, 6 La 3.49-3.68
La 0.0016 0.7403 0.2596  4 Ho 3.47-3.53, 1 Cd 3.49, 6 La 3.49-3.68

***

no.,DFT formation energy (eV per atom),total magnetization (μB/cell),DOS(E_F) (states/eV/f.u.)
1,-0.097,0.0,8.3
2,-0.210,0.0,11.5
3,-0.309,0.5,14.0
4,-0.239,0.0,10.5
5,-0.164,0.0,6.7
6,0.009,0.0,17.8
7,-0.302,0.3,6.1
8,0.105,0.0,26.3